(1)
This record from the Open Quantum Materials Database describes an optimized crystal structure of ThB4. The functional is PBE.

a = 7.243 Å, b = 7.243 Å, c = 4.114 Å
α = 90.00°, β = 90.00°, γ = 90.00°
Space group P4/mbm (No. 127)
Inequivalent atoms, fractional coordinates:
Th 0.185 0.315 0.000 x4
B 0.000 0.000 0.201 x4
B 0.039 0.825 0.500 x8
B 0.090 0.590 0.500 x4



(2)
This record from the Open Quantum Materials Database describes an optimized crystal structure of ThB12. The functional is PBE.

a = 7.585 Å, b = 7.585 Å, c = 7.585 Å
α = 90.00°, β = 90.00°, γ = 90.00°
Space group Fm-3m (No. 225)
Inequivalent atoms, fractional coordinates:
Th 0.000 0.000 0.000 x4
B 0.000 0.169 0.331 x48



(3)
This record from the Open Quantum Materials Database describes an optimized crystal structure of TmThB4. The functional is PBE.

Energy above the lowest structure with this stoichiometry   35 kJ/mol of formula units

a = 3.303 Å, b = 5.716 Å, c = 8.052 Å
α = 90.00°, β = 90.00°, γ = 90.00°
Space group Immm (No. 71)
Inequivalent atoms, fractional coordinates:
Tm 0.000 0.000 0.000 x2
Th 0.000 0.000 0.500 x2
B 0.000 0.333 0.252 x8



(4)
This record from the Open Quantum Materials Database describes an optimized crystal structure of TmThB. The functional is PBE.

Energy above the lowest structure with this stoichiometry   0 kJ/mol of formula units

a = 6.445 Å, b = 6.445 Å, c = 6.445 Å
α = 90.00°, β = 90.00°, γ = 90.00°
Space group F-43m (No. 216)
Inequivalent atoms, fractional coordinates:
Tm 0.000 0.000 0.000 x4
Th 0.000 0.000 0.500 x4
B 0.250 0.250 0.750 x4



(5)
This record from the Open Quantum Materials Database describes an optimized crystal structure of TmThB4. The functional is PBE.

Energy above the lowest structure with this stoichiometry   0 kJ/mol of formula units

a = 3.2788 Å, b = 3.2788 Å, c = 8.0399 Å
α = 90.00°, β = 90.00°, γ = 120.00°
Space group P6/mmm (No. 191)
Inequivalent atoms, fractional coordinates:
Tm 0.0000 0.0000 0.0000 x1
Th 0.0000 0.0000 0.5000 x1
B 0.3333 0.6667 0.2328 x4



(6)
This record from the Open Quantum Materials Database describes an optimized crystal structure of ThUB. The functional is PBE.

Energy above the lowest structure with this stoichiometry   0 kJ/mol of formula units

a = 6.223 Å, b = 6.223 Å, c = 6.223 Å
α = 90.00°, β = 90.00°, γ = 90.00°
Space group F-43m (No. 216)
Inequivalent atoms, fractional coordinates:
Th 0.000 0.000 0.000 x4
U 0.000 0.000 0.500 x4
B 0.250 0.250 0.250 x4



| no. | raw total energy (eV/atom) | magnetic moment (μB/f.u.) |
| --- | --- | --- |
| 1 | -7.4462 | 0.0 |
| 2 | -6.9897 | 0.0 |
| 3 | -6.9260 | 0.0 |
| 4 | -6.0817 | 0.0 |
| 5 | -6.9870 | 0.0 |
| 6 | -8.0980 | 1.2 |